No. 1
This record from the Open Quantum Materials Database describes an optimized crystal structure of CsAgGeSe3. The functional is GGA-PBE.

Computed properties:
space-group type = Cmcm (63)
crystal system = orthorhombic

Lattice parameters (Å, degrees): 8.5020 8.5020 10.9532 90.00 90.00 154.16
Last column: nearest neighbours and their distance in Å.
Fractional coordinates of all 12 atoms:
Ag 0.0647 0.9353 0.2500  4 Se 2.58-2.66
Se 0.1121 0.8879 0.0258  1 Ag 2.58, 2 Ge 2.67
Se 0.8879 0.1121 0.9742  1 Ag 2.58, 2 Ge 2.67
Se 0.1121 0.8879 0.4742  1 Ag 2.58, 2 Ge 2.67
Se 0.4529 0.5471 0.2500  2 Ag 2.66, 2 Ge 2.85
Ag 0.9353 0.0647 0.7500  4 Se 2.58-2.66
Cs 0.2402 0.7598 0.7500  8 Se 3.69-3.95, 2 Ag 3.75, 2 Cs 3.80
Cs 0.7598 0.2402 0.2500  8 Se 3.69-3.95, 2 Ag 3.75, 2 Cs 3.80
Se 0.8879 0.1121 0.5258  1 Ag 2.58, 2 Ge 2.67
Ge 0.5000 0.5000 0.0000  6 Se 2.67-2.85
Ge 0.5000 0.5000 0.5000  6 Se 2.67-2.85
Se 0.5471 0.4529 0.7500  2 Ag 2.66, 2 Ge 2.85



No. 2
This record from the Open Quantum Materials Database describes an optimized crystal structure of La3Mg3Pd2Au. The functional is GGA-PBE.

Computed properties:
space-group type = P-62m (189)
crystal system = hexagonal
size of the total moment = 0.02 μB per cell

Lattice parameters (Å, degrees): 7.7684 7.7684 4.2085 90.00 90.00 120.00
Last column: nearest neighbours and their distance in Å.
Fractional coordinates of all 9 atoms:
Mg 0.7593 0.0000 0.5000  2 Au 2.82, 2 Pd 3.01
La 0.0000 0.4172 0.0000  4 Pd 3.14, 1 Au 3.24, 6 Mg 3.39-3.52
Mg 0.0000 0.7593 0.5000  2 Au 2.82, 2 Pd 3.01
Au 0.0000 0.0000 0.0000  6 Mg 2.82
Mg 0.2407 0.2407 0.5000  2 Au 2.82, 2 Pd 3.01
Pd 0.3333 0.6667 0.5000  3 Mg 3.01, 6 La 3.14
La 0.5828 0.5828 0.0000  4 Pd 3.14, 1 Au 3.24, 6 Mg 3.39-3.52
La 0.4172 0.0000 0.0000  4 Pd 3.14, 1 Au 3.24, 6 Mg 3.39-3.52
Pd 0.6667 0.3333 0.5000  3 Mg 3.01, 6 La 3.14



No. 3
This record from the Open Quantum Materials Database describes an optimized crystal structure of CsDyInSe3. The functional is GGA-PBE.

Computed properties:
space-group type = Cmcm (63)
crystal system = orthorhombic
size of the total moment = 0.02 μB per cell

Lattice parameters (Å, degrees): 8.4933 8.4933 11.7317 90.00 90.00 151.02
Last column: nearest neighbours and their distance in Å.
Fractional coordinates of all 12 atoms:
Se 0.6180 0.3820 0.4787  1 In 2.77, 2 Dy 2.89
Se 0.3820 0.6180 0.5213  1 In 2.77, 2 Dy 2.89
Se 0.6180 0.3820 0.0213  1 In 2.77, 2 Dy 2.89
Cs 0.2768 0.7232 0.2500  4 Se 3.62-3.81, 2 In 3.91
Dy 0.0000 0.0000 0.5000  6 Se 2.89-2.98
Cs 0.7232 0.2768 0.7500  4 Se 3.62-3.81, 2 In 3.91
Se 0.3820 0.6180 0.9787  1 In 2.77, 2 Dy 2.89
In 0.4227 0.5773 0.7500  4 Se 2.77
Dy 0.0000 0.0000 0.0000  6 Se 2.89-2.98
Se 0.0308 0.9692 0.7500  2 In 2.77, 2 Dy 2.98
In 0.5773 0.4227 0.2500  4 Se 2.77
Se 0.9692 0.0308 0.2500  2 In 2.77, 2 Dy 2.98



Number 1: energy -41.6 eV for the cell shown. Number 2: energy -39.1 eV for the cell shown. Number 3: energy -51.6 eV for the cell shown.